Compound: ScCr
Source: Alexandria via LeMat-Bulk
Functional: PBE
Structure: relaxed

Energy of formation from the pure elements, meV/atom: 1463
Total energy, eV per atom: -6.514

POSCAR file:
```
ScCr
1.0
-4.570 -5.225 3.017
3.198 -5.307 -4.347
5.117 -1.350 5.412
Sc Cr
8 8
direct
0.223 0.223 0.223 Sc
0.223 0.777 0.777 Sc
0.777 0.223 0.777 Sc
0.777 0.777 0.223 Sc
0.723 0.723 0.723 Sc
0.723 0.277 0.277 Sc
0.277 0.723 0.277 Sc
0.277 0.277 0.723 Sc
0.394 0.394 0.394 Cr
0.394 0.606 0.606 Cr
0.606 0.394 0.606 Cr
0.606 0.606 0.394 Cr
0.894 0.894 0.894 Cr
0.894 0.106 0.106 Cr
0.106 0.894 0.106 Cr
0.106 0.106 0.894 Cr
```

***

Compound: ScCr
Source: Alexandria via LeMat-Bulk
Functional: PBE
Structure: relaxed

Energy of formation from the pure elements, meV/atom: 1356
Total energy, eV per atom: -6.622

POSCAR file:
```
ScCr
1.0
4.770 0.000 0.000
-2.385 4.131 0.000
0.000 0.000 5.369
Sc Cr
2 2
direct
0.333 0.667 0.250 Sc
0.667 0.333 0.750 Sc
0.333 0.667 0.750 Cr
0.667 0.333 0.250 Cr
```

***

Compound: Sc2Cr
Source: Alexandria via LeMat-Bulk
Functional: PBE
Structure: relaxed

Energy of formation from the pure elements, meV/atom: 554
Total energy, eV per atom: -6.875

POSCAR file:
```
Sc2Cr
1.0
-2.994 0.793 5.628
1.119 -6.154 1.462
5.572 1.662 2.730
Sc Cr
8 4
direct
0.158 0.658 0.842 Sc
0.158 0.842 0.342 Sc
0.342 0.158 0.842 Sc
0.342 0.342 0.342 Sc
0.658 0.658 0.658 Sc
0.658 0.842 0.158 Sc
0.842 0.158 0.658 Sc
0.842 0.342 0.158 Sc
0.000 0.000 0.000 Cr
0.000 0.500 0.500 Cr
0.500 0.000 0.500 Cr
0.500 0.500 0.000 Cr
```

***

Compound: ScCr
Source: Alexandria via LeMat-Bulk
Functional: PBE
Structure: relaxed

Energy of formation from the pure elements, meV/atom: 161
Total energy, eV per atom: -7.817

POSCAR file:
```
ScCr
1.0
4.660 0.000 0.000
-2.329 4.897 0.002
0.000 1.023 2.997
Cr Sc
2 2
direct
0.958 0.083 0.958 Cr
0.125 0.417 0.292 Cr
0.402 0.970 0.515 Sc
0.682 0.530 0.735 Sc
```

***

Compound: ScCr3Se
Source: Alexandria via LeMat-Bulk
Functional: PBE
Structure: relaxed

Total energy, eV per atom: -5.735
E_form (uncorrected), eV per formula unit: 10.0
Energy above the most stable polymorph in this dataset, eV/atom: 1.426

POSCAR file:
```
ScCr3Se
1.0
-4.116 1.366 0.881
0.448 -1.351 4.190
1.562 3.987 1.118
Sc Cr Se
1 3 1
direct
0.000 0.000 0.000 Sc
0.000 0.500 0.000 Cr
0.000 0.000 0.500 Cr
0.500 0.000 0.000 Cr
0.500 0.500 0.500 Se
```

***

Compound: ScCrSe
Source: Alexandria via LeMat-Bulk
Functional: PBE
Structure: relaxed

Total energy, eV per atom: -6.832
E_form (uncorrected), eV per formula unit: -1.1
Energy above the most stable polymorph in this dataset, eV/atom: 0.292

POSCAR file:
```
ScCrSe
1.0
4.218 0.000 0.000
-2.109 3.653 0.000
0.000 0.000 3.466
Cr Sc Se
1 1 1
direct
0.000 0.000 0.834 Cr
0.667 0.333 0.334 Sc
0.333 0.667 0.832 Se
```

***

no.,volume (Å³ per cell)
1,433.7
2,105.8
3,265.1
4,68.4
5,86.7
6,53.4